Here is crystalline Al2InHg at its relaxed geometry from Alexandria. Energies are from PBE-GGA.

Computed properties:
Density of states at the Fermi level, states/eV/cell: 2.12
E_tot, eV/atom: -2.431
Total moment, μB per formula unit: 0.0
Formation enthalpy at 0 K, eV/atom: 0.20
Space-group type: Cmmm

abc: 4.033 4.834 8.883
angles: 90.00 90.00 90.00
Sites, in units of the cell vectors:
Al (0.000, 0.000, 0.239)
Al (0.000, 0.000, 0.761)
Al (0.500, 0.500, 0.239)
Al (0.500, 0.500, 0.761)
In (0.000, 0.500, 0.500)
In (0.500, 0.000, 0.500)
Hg (0.000, 0.500, 0.000)
Hg (0.500, 0.000, 0.000)